Entry 1:
The following is a DFT calculation (GGA-PBE) of a relaxed structure of LiFe2N2.

Results
* DFT total energy: -7.2095 eV/atom
* space group: P2_1/c
* formation energy (no corrections): -112 meV/atom

Cell lengths 5.6697, 5.2869, 6.3929 Å; angles 85.82, 90.00, 90.00 degrees
Last column: nearest neighbours and their distance in Å.
Sites, in units of the cell vectors:
Fe  0.1272  0.6787  0.0051  4 N 1.88-1.95
Fe  0.6272  0.3213  0.4949  4 N 1.88-1.95
Fe  0.6422  0.8921  0.7357  3 N 1.91-1.97
Fe  0.3578  0.1079  0.2643  3 N 1.91-1.97
Fe  0.3728  0.6787  0.5051  4 N 1.88-1.95
Fe  0.1422  0.1079  0.7643  3 N 1.91-1.97
Fe  0.8728  0.3213  0.9949  4 N 1.88-1.95
Fe  0.8578  0.8921  0.2357  3 N 1.91-1.97
N  0.3002  0.3181  0.5407  3 Fe 1.88-1.96, 1 Li 2.01
N  0.1917  0.7938  0.2708  4 Fe 1.88-1.97
N  0.8083  0.2062  0.7292  4 Fe 1.88-1.97
N  0.3083  0.7938  0.7708  4 Fe 1.88-1.97
N  0.6998  0.6819  0.4593  3 Fe 1.88-1.96, 1 Li 2.01
N  0.1998  0.3181  0.0407  3 Fe 1.88-1.96, 1 Li 2.01
N  0.6917  0.2062  0.2292  4 Fe 1.88-1.97
N  0.8002  0.6819  0.9593  3 Fe 1.88-1.96, 1 Li 2.01
Li  0.4656  0.4071  0.8407  3 N 2.01-2.25
Li  0.9656  0.5929  0.6593  3 N 2.01-2.25
Li  0.5344  0.5929  0.1593  3 N 2.01-2.25
Li  0.0344  0.4071  0.3407  3 N 2.01-2.25

=====

Entry 2:
The following is a DFT calculation (GGA-PBE) of a relaxed structure of LiFeN2.

Results
* distance to the lowest polymorph of the same formula: 632 meV/atom
* DFT total energy: -6.2710 eV/atom
* space group: Fm-3m
* formation energy (no corrections): 486 meV/atom

Cell lengths 3.4347, 3.4347, 3.4347 Å; angles 60.00, 60.00, 60.00 degrees
Last column: nearest neighbours and their distance in Å.
Sites, in units of the cell vectors:
N  0.7500  0.7500  0.7500  4 Fe 2.10, 4 Li 2.10
N  0.2500  0.2500  0.2500  4 Fe 2.10, 4 Li 2.10
Li  0.0000  0.0000  0.0000  8 N 2.10
Fe  0.5000  0.5000  0.5000  8 N 2.10

=====

Entry 3:
The following is a DFT calculation (GGA-PBE) of a relaxed structure of LiFeN3.

Results
* DFT total energy: -4.8302 eV/atom
* space group: Pm-3m
* formation energy (no corrections): 2240 meV/atom

Cell lengths 3.4252, 3.4252, 3.4252 Å; angles 90.00, 90.00, 90.00 degrees
Last column: nearest neighbours and their distance in Å.
Sites, in units of the cell vectors:
N  0.0000  0.5000  0.0000  2 Li 1.71
N  0.0000  0.0000  0.5000  2 Li 1.71
N  0.5000  0.0000  0.0000  2 Li 1.71
Li  0.0000  0.0000  0.0000  6 N 1.71
Fe  0.5000  0.5000  0.5000  12 N 2.42

=====

Entry 4:
The following is a DFT calculation (GGA-PBE) of a relaxed structure of LiFeN.

Results
* DFT total energy: -6.3030 eV/atom
* space group: I4mm
* formation energy (no corrections): -69 meV/atom

Cell lengths 2.5156, 2.5156, 4.8326 Å; angles 105.09, 105.09, 90.00 degrees
Last column: nearest neighbours and their distance in Å.
Sites, in units of the cell vectors:
Li  0.0180  0.0180  0.0360  1 Fe 2.36, 4 N 2.43, 4 Li 2.52
N  0.7015  0.7015  0.4030  4 Fe 1.92
Fe  0.2805  0.2805  0.5610  4 N 1.92

=====

Entry 5:
The following is a DFT calculation (GGA-PBE) of a relaxed structure of LiFeN.

Results
* DFT total energy: -6.5905 eV/atom
* space group: Pmn2_1
* formation energy (no corrections): -357 meV/atom

Cell lengths 2.8797, 4.6505, 4.3351 Å; angles 90.00, 90.00, 90.00 degrees
Last column: nearest neighbours and their distance in Å.
Sites, in units of the cell vectors:
Li  0.5000  0.0062  0.0902  3 N 2.03-2.06
Li  0.0000  0.9938  0.5902  3 N 2.03-2.06
Fe  0.5000  0.4771  0.7681  3 N 1.81-1.83
Fe  0.0000  0.5229  0.2681  3 N 1.81-1.83
N  0.0000  0.2882  0.9348  3 Fe 1.81-1.83, 1 Li 2.03
N  0.5000  0.7118  0.4348  3 Fe 1.81-1.83, 1 Li 2.03

=====

Entry 6:
The following is a DFT calculation (GGA-PBE) of a relaxed structure of Li6FeN4.

Results
* DFT total energy: -5.2529 eV/atom
* space group: P4_2/nmc
* formation energy (no corrections): -412 meV/atom

Cell lengths 6.4731, 6.4731, 4.8927 Å; angles 90.00, 90.00, 90.00 degrees
Last column: nearest neighbours and their distance in Å.
Sites, in units of the cell vectors:
Li  0.7852  0.7852  0.5000  4 N 2.08
Li  0.2148  0.2148  0.5000  4 N 2.08
Li  0.5000  0.0000  0.3911  2 N 1.99
Li  0.7852  0.2148  0.5000  4 N 2.08
Li  0.0000  0.5000  0.1089  2 N 1.99
Li  0.2852  0.2852  0.0000  4 N 2.08
Li  0.5000  0.0000  0.8911  2 N 1.99
Li  0.2852  0.7148  0.0000  4 N 2.08
Li  0.7148  0.7148  0.0000  4 N 2.08
Li  0.2148  0.7852  0.5000  4 N 2.08
Li  0.7148  0.2852  0.0000  4 N 2.08
Li  0.0000  0.5000  0.6089  2 N 1.99
N  0.0000  0.2349  0.8147  1 Fe 1.77
N  0.5000  0.7349  0.6853  1 Fe 1.77
N  0.2349  0.0000  0.1853  1 Fe 1.77
N  0.7651  0.0000  0.1853  1 Fe 1.77
N  0.7349  0.5000  0.3147  1 Fe 1.77
N  0.2651  0.5000  0.3147  1 Fe 1.77
N  0.0000  0.7651  0.8147  1 Fe 1.77
N  0.5000  0.2651  0.6853  1 Fe 1.77
Fe  0.0000  0.0000  0.0000  4 N 1.77
Fe  0.5000  0.5000  0.5000  4 N 1.77

=====

Entry 7:
The following is a DFT calculation (GGA-PBE) of a relaxed structure of LiFeN3.

Results
* DFT total energy: -6.0892 eV/atom
* space group: Pm-3m
* formation energy (no corrections): 981 meV/atom

Cell lengths 3.6483, 3.6483, 3.6483 Å; angles 90.00, 90.00, 90.00 degrees
Last column: nearest neighbours and their distance in Å.
Sites, in units of the cell vectors:
Li  0.5000  0.5000  0.5000  12 N 2.58
N  0.0000  0.5000  0.0000  2 Fe 1.82
N  0.0000  0.0000  0.5000  2 Fe 1.82
N  0.5000  0.0000  0.0000  2 Fe 1.82
Fe  0.0000  0.0000  0.0000  6 N 1.82

=====

Entry 8:
The following is a DFT calculation (GGA-PBE) of a relaxed structure of Na2LiFeN2.

Results
* DFT total energy: -5.1253 eV/atom
* space group: Ibam
* formation energy (no corrections): -181 meV/atom

Cell lengths 4.8687, 4.6099, 8.9321 Å; angles 104.95, 105.82, 90.00 degrees
Last column: nearest neighbours and their distance in Å.
Sites, in units of the cell vectors:
Na  0.4081  0.1509  0.3018  3 N 2.69-2.75, 2 Fe 3.00
Na  0.8938  0.6509  0.3018  3 N 2.69-2.75, 2 Fe 3.00
Na  0.5919  0.8491  0.6982  3 N 2.69-2.75, 2 Fe 3.00
Na  0.1062  0.3491  0.6982  3 N 2.69-2.75, 2 Fe 3.00
N  0.2233  0.9394  0.8788  2 Fe 1.86, 2 Li 2.06
N  0.3445  0.5606  0.1212  2 Fe 1.86, 2 Li 2.06
N  0.6555  0.4394  0.8788  2 Fe 1.86, 2 Li 2.06
N  0.7767  0.0606  0.1212  2 Fe 1.86, 2 Li 2.06
Li  0.0000  0.2500  0.0000  4 N 2.06, 2 Li 2.30
Li  0.0000  0.7500  0.0000  4 N 2.06, 2 Li 2.30
Fe  0.5000  0.2500  0.0000  4 N 1.86
Fe  0.5000  0.7500  0.0000  4 N 1.86

=====

Entry 9:
The following is a DFT calculation (GGA-PBE) of a relaxed structure of LiNbFeN3.

Results
* DFT total energy: -8.0240 eV/atom
* space group: P2_1/m
* formation energy (no corrections): -454 meV/atom

Cell lengths 3.0983, 6.0924, 8.4171 Å; angles 106.20, 90.00, 90.00 degrees
Last column: nearest neighbours and their distance in Å.
Sites, in units of the cell vectors:
N  0.7500  0.1879  0.5892  3 Fe 1.84-1.85
N  0.7500  0.9175  0.1577  1 Fe 1.89, 2 Nb 2.11
N  0.2500  0.8121  0.4108  3 Fe 1.84-1.85
N  0.2500  0.5782  0.8835  3 Nb 2.03-2.17, 2 Li 2.20
N  0.2500  0.0825  0.8423  1 Fe 1.89, 2 Nb 2.11
N  0.7500  0.4218  0.1165  3 Nb 2.03-2.17, 2 Li 2.20
Nb  0.7500  0.3237  0.8659  6 N 2.03-2.24
Nb  0.2500  0.6763  0.1341  6 N 2.03-2.24
Fe  0.7500  0.9668  0.3897  4 N 1.84-1.89
Fe  0.2500  0.0332  0.6103  4 N 1.84-1.89
Li  0.7500  0.8274  0.8677  5 N 2.20-2.35
Li  0.2500  0.1726  0.1323  5 N 2.20-2.35

=====

Entry 10:
The following is a DFT calculation (GGA-PBE) of a relaxed structure of LiFe2NiN.

Results
* distance to the lowest polymorph of the same formula: 15 meV/atom
* DFT total energy: -6.6533 eV/atom
* space group: P4/mmm
* formation energy (no corrections): -64 meV/atom

Cell lengths 3.7293, 3.7293, 3.7885 Å; angles 90.00, 90.00, 90.00 degrees
Last column: nearest neighbours and their distance in Å.
Sites, in units of the cell vectors:
Li  0.0000  0.0000  0.5000  2 N 1.89
Fe  0.5000  0.0000  0.0000  2 N 1.86
Fe  0.0000  0.5000  0.0000  2 N 1.86
Ni  0.5000  0.5000  0.5000  4 Li 2.64, 8 Fe 2.66
N  0.0000  0.0000  0.0000  4 Fe 1.86, 2 Li 1.89

=====

Entry 11:
The following is a DFT calculation (GGA-PBE) of a relaxed structure of LiFeNi2N.

Results
* DFT total energy: -6.1557 eV/atom
* space group: P4/mmm
* formation energy (no corrections): -103 meV/atom

Cell lengths 3.7757, 3.7757, 3.7531 Å; angles 90.00, 90.00, 90.00 degrees
Last column: nearest neighbours and their distance in Å.
Sites, in units of the cell vectors:
Fe  0.0000  0.0000  0.5000  2 N 1.88
N  0.0000  0.0000  0.0000  2 Fe 1.88, 4 Ni 1.89
Li  0.5000  0.5000  0.5000  8 Ni 2.66, 4 Fe 2.67
Ni  0.5000  0.0000  0.0000  2 N 1.89
Ni  0.0000  0.5000  0.0000  2 N 1.89

=====

Entry 12:
The following is a DFT calculation (GGA-PBE) of a relaxed structure of LiFe2NiN.

Results
* distance to the lowest polymorph of the same formula: 0 meV/atom
* DFT total energy: -6.6688 eV/atom
* space group: P4/mmm
* formation energy (no corrections): -80 meV/atom

Cell lengths 3.7584, 3.7584, 3.8183 Å; angles 90.00, 90.00, 90.00 degrees
Last column: nearest neighbours and their distance in Å.
Sites, in units of the cell vectors:
Ni  0.0000  0.0000  0.5000  2 N 1.91
Fe  0.5000  0.0000  0.0000  2 N 1.88
Fe  0.0000  0.5000  0.0000  2 N 1.88
Li  0.5000  0.5000  0.5000  4 Ni 2.66, 8 Fe 2.68
N  0.0000  0.0000  0.0000  4 Fe 1.88, 2 Ni 1.91

=====

Entry 13:
The following is a DFT calculation (GGA-PBE) of a relaxed structure of Li2NpFeN4.

Results
* DFT total energy: -7.5397 eV/atom
* space group: Cmcm
* formation energy (no corrections): -223 meV/atom

Cell lengths 3.1986, 5.6674, 9.5192 Å; angles 90.00, 90.00, 106.39 degrees
Last column: nearest neighbours and their distance in Å.
Sites, in units of the cell vectors:
N  0.3098  0.6196  0.1293  1 Fe 1.71, 1 Li 1.86
N  0.4007  0.8013  0.7500  2 Fe 1.90, 2 Li 1.99
N  0.0000  0.0000  0.5000  4 Li 2.02
N  0.6902  0.3804  0.6293  1 Fe 1.71, 1 Li 1.86
N  0.3098  0.6196  0.3707  1 Fe 1.71, 1 Li 1.86
N  0.5993  0.1987  0.2500  2 Fe 1.90, 2 Li 1.99
N  0.6902  0.3804  0.8707  1 Fe 1.71, 1 Li 1.86
N  0.0000  0.0000  0.0000  4 Li 2.02
Np  0.0688  0.1376  0.7500  8 N 2.37-2.49
Np  0.9312  0.8624  0.2500  8 N 2.37-2.49
Li  0.3922  0.7844  0.5414  4 N 1.86-2.02
Li  0.6078  0.2156  0.0414  4 N 1.86-2.02
Li  0.6078  0.2156  0.4586  4 N 1.86-2.02
Li  0.3922  0.7844  0.9586  4 N 1.86-2.02
Fe  0.8064  0.6128  0.7500  4 N 1.71-1.90
Fe  0.1936  0.3872  0.2500  4 N 1.71-1.90